1.
The following is a PBEsol calculation of a relaxed Sc2CrGeO crystal, from Alexandria.

Structure (POSCAR):
```
Sc2CrGeO
1.0
4.4989 0.0000 0.0000
0.0000 4.9937 0.0000
0.0000 0.0000 4.9937
O Sc Ge Cr
1 2 1 1
direct
0.5000 0.5000 0.5000
0.0000 0.5000 0.0000
0.0000 0.0000 0.5000
0.0000 0.0000 0.0000
0.5000 0.0000 0.0000
```

Raw formation energy (kJ/mol of atoms): 47.81
Density of states at the Fermi level (states/eV/atom): 0.827

***

2.
The following is a PBEsol calculation of a relaxed TaSbP2 crystal, from Alexandria.

Structure (POSCAR):
```
TaSbP2
1.0
3.1942 0.0000 0.0000
0.0000 4.5343 0.0000
0.0000 0.0000 4.6289
P Ta Sb
2 1 1
direct
0.0000 0.0000 0.0000
0.0000 0.5000 0.5000
0.5000 0.0000 0.5000
0.5000 0.5000 0.0000
```

Raw formation energy (kJ/mol of atoms): 25.48
Density of states at the Fermi level (states/eV/atom): 0.793

***

3.
The following is a PBEsol calculation of a relaxed BeRe2Se crystal, from Alexandria.

Structure (POSCAR):
```
BeRe2Se
1.0
4.1765 0.0000 0.0000
2.0882 3.6169 0.0000
2.0882 1.2056 3.4101
Be Re Se
1 2 1
direct
0.0000 0.0000 0.0000
0.2500 0.2500 0.2500
0.7500 0.7500 0.7500
0.5000 0.5000 0.5000
```

Raw formation energy (kJ/mol of atoms): 42.64
Density of states at the Fermi level (states/eV/atom): 0.720

***

4.
The following is a PBEsol calculation of a relaxed TlSeIN2 crystal, from Alexandria.

Structure (POSCAR):
```
TlSeIN2
1.0
-2.2782 -3.3365 -0.5465
2.7897 -2.2273 1.9692
-2.7084 1.0300 5.0020
Se Tl I N
1 1 1 2
direct
0.0000 0.0000 0.5000
0.5000 0.5000 0.5000
0.0000 0.0000 0.0000
0.0000 0.5000 0.0000
0.5000 0.0000 0.0000
```

Raw formation energy (kJ/mol of atoms): 139.74
Density of states at the Fermi level (states/eV/atom): 0.534

***

5.
The following is a PBEsol calculation of a relaxed BaSr2Zn crystal, from Alexandria.

Structure (POSCAR):
```
BaSr2Zn
1.0
4.0162 0.0000 0.0000
0.0000 4.0162 0.0000
0.0000 0.0000 10.2417
Zn Sr Ba
1 2 1
direct
0.0000 0.0000 0.5107
0.5000 0.5000 0.6814
0.0000 0.0000 0.9896
0.5000 0.5000 0.3183
```

E_form (eV/atom): -0.073
Density of states at the Fermi level (states/eV/atom): 1.083

***

6.
The following is a PBEsol calculation of a relaxed PdSe3Cl crystal, from Alexandria.

Structure (POSCAR):
```
PdSe3Cl
1.0
-0.9258 2.9582 -3.7497
1.0032 -3.6139 -3.0987
-4.6696 -1.3629 0.0777
Se Cl Pd
3 1 1
direct
0.0000 0.5000 0.0000
0.5000 0.0000 0.0000
0.0000 0.0000 0.5000
0.5000 0.5000 0.5000
0.0000 0.0000 0.0000
```

Raw formation energy (kJ/mol of atoms): 49.87
Density of states at the Fermi level (states/eV/atom): 1.682

***

7.
The following is a PBEsol calculation of a relaxed Cs2SmCuCl6 crystal, from Alexandria.

Structure (POSCAR):
```
Cs2SmCuCl6
1.0
7.3139 0.0000 0.0000
3.6570 6.3340 0.0000
3.6570 2.1113 5.9718
Cl Cs Sm Cu
6 2 1 1
direct
0.2582 0.7418 0.2582
0.2582 0.2582 0.7418
0.7418 0.2582 0.2582
0.2582 0.7418 0.7418
0.7418 0.2582 0.7418
0.7418 0.7418 0.2582
0.2500 0.2500 0.2500
0.7500 0.7500 0.7500
0.0000 0.0000 0.0000
0.5000 0.5000 0.5000
```

Raw formation energy (kJ/mol of atoms): -173.00
Density of states at the Fermi level (states/eV/atom): 0.000

***

8.
The following is a PBEsol calculation of a relaxed YBH2Ru crystal, from Alexandria.

Structure (POSCAR):
```
YBH2Ru
1.0
-3.2226 -0.2663 -1.2429
-0.7225 -2.4032 2.3882
-1.5472 3.6701 3.2251
H Y Ru B
2 1 1 1
direct
0.0000 0.5000 0.0000
0.5000 0.0000 0.0000
0.0000 0.0000 0.0000
0.5000 0.5000 0.5000
0.0000 0.0000 0.5000
```

Density of states at the Fermi level (states/eV/atom): 0.587
Uncorrected energy (eV/atom): -5.29

***

9.
The following is a PBEsol calculation of a relaxed Ag2BrF2 crystal, from Alexandria.

Structure (POSCAR):
```
Ag2BrF2
1.0
3.7643 0.0000 0.0000
0.0000 3.7643 0.0000
-1.8822 -1.8822 5.4830
Br F Ag
1 2 2
direct
0.0000 0.0000 0.0000
0.7500 0.2500 0.5000
0.2500 0.7500 0.5000
0.6288 0.6288 0.2575
0.3712 0.3712 0.7425
```

Raw formation energy (kJ/mol of atoms): -64.71
Density of states at the Fermi level (states/eV/atom): 1.736

***

10.
The following is a PBEsol calculation of a relaxed CoRe2Cl crystal, from Alexandria.

Structure (POSCAR):
```
CoRe2Cl
1.0
2.8038 0.0000 0.0000
0.0000 4.3185 0.0000
-1.4019 -2.1593 4.2863
Re Co Cl
2 1 1
direct
0.9975 0.9975 0.9950
0.7680 0.2680 0.5360
0.2318 0.7318 0.4636
0.5027 0.5027 0.0054
```

Raw formation energy (kJ/mol of atoms): 75.49
Energy above the most stable polymorph in this dataset (eV/atom): 0.2017
Density of states at the Fermi level (states/eV/atom): 1.101

***

11.
The following is a PBEsol calculation of a relaxed MnFe3 crystal, from Alexandria.

Structure (POSCAR):
```
MnFe3
1.0
2.4352 0.0000 0.0000
0.0000 3.8484 0.0000
0.0000 0.0000 4.2151
Fe Mn
3 1
direct
0.5000 0.5000 0.8362
0.0000 0.0000 0.9979
0.5000 0.0000 0.5014
0.0000 0.5000 0.3311
```

E_form (eV/atom): -0.022
Density of states at the Fermi level (states/eV/atom): 1.114

***

12.
The following is a PBEsol calculation of a relaxed Sm2TiCuO6 crystal, from Alexandria.

Structure (POSCAR):
```
Sm2TiCuO6
1.0
5.3496 0.0000 0.0165
0.0000 5.7862 0.0000
0.0647 0.0000 7.4584
Ti O Cu Sm
2 12 2 4
direct
0.0000 0.0000 0.0000
0.5000 0.5000 0.5000
0.6802 0.7926 0.5528
0.3198 0.2074 0.4472
0.7967 0.3232 0.5503
0.7033 0.8232 0.9497
0.3977 0.4672 0.7517
0.6023 0.5327 0.2483
0.8198 0.2926 0.9472
0.1023 0.9672 0.7483
0.2033 0.6768 0.4497
0.2967 0.1768 0.0503
0.8977 0.0328 0.2517
0.1802 0.7074 0.0528
0.0000 0.0000 0.5000
0.5000 0.5000 0.0000
0.4817 0.9246 0.2497
0.9817 0.5754 0.7497
0.0183 0.4246 0.2503
0.5183 0.0754 0.7503
```

Raw formation energy (kJ/mol of atoms): -270.60
Density of states at the Fermi level (states/eV/atom): 0.192

***

> density of states at the Fermi level of number 5 (BaSr2Zn)?

1.083 states/eV/atom

***

> Which of these has the lowest density of states at the Fermi level?

Cs2SmCuCl6